This record from Alexandria describes crystalline GeClF at its relaxed geometry. The functional is GGA-PBE.

Cell lengths 3.7475, 3.7475, 5.3450 Å; angles 90.00, 90.00, 120.00 degrees
Last column: nearest neighbours and their distance in Å.
Space group P3m1 (No. 156)
Asymmetric unit:
1 Ge 0.0000 0.0000 0.0000 (multiplicity 1)  3 F 2.30
2 Cl 0.6667 0.3333 0.6992 (multiplicity 1)  3 Ge 2.70
3 F 0.3333 0.6667 0.1448 (multiplicity 1)  3 Ge 2.30

D(E_F): 0.0 states/eV per cell
size of the total moment: 0.00 Bohr magnetons per cell
electronic total energy: -4.091 eV per atom
formation energy from raw total energies: -1.313 eV per atom



This record from Alexandria describes crystalline Ge2Cl3F at its relaxed geometry. The functional is GGA-PBE.

Cell lengths 4.8496, 8.7022, 9.3063 Å; angles 76.35, 76.13, 83.38 degrees
Last column: nearest neighbours and their distance in Å.
Space group P-1 (No. 2)
Asymmetric unit:
1 Ge 0.1974 0.4895 0.1852 (multiplicity 2)  1 F 2.15, 2 Cl 2.33-2.38
2 Ge 0.2445 0.8126 0.4954 (multiplicity 2)  1 F 1.94
3 Cl 0.0276 0.0380 0.6717 (multiplicity 2)  1 Ge 2.34
4 Cl 0.4209 0.6878 0.8805 (multiplicity 2)  1 Ge 2.33
5 Cl 0.4590 0.6194 0.3033 (multiplicity 2)  1 Ge 2.38
6 F 0.0628 0.3235 0.3966 (multiplicity 2)  2 Ge 1.94-2.15

D(E_F): 0.0 states/eV per cell
size of the total moment: 0.00 Bohr magnetons per cell
electronic total energy: -3.883 eV per atom
energy relative to the lowest polymorph listed for this composition: 0.0 meV per atom
formation energy from raw total energies: -1.109 eV per atom



This record from Alexandria describes crystalline Ge2ClF4 at its relaxed geometry. The functional is GGA-PBE.

Cell lengths 6.4787, 6.7418, 7.2413 Å; angles 72.89, 87.08, 65.95 degrees
Last column: nearest neighbours and their distance in Å.
Space group P1 (No. 1)
Asymmetric unit:
1 Ge 0.0000 0.0000 0.0000 (multiplicity 1)  2 F 2.21-2.45, 1 Cl 2.35
2 Ge 0.1741 0.9492 0.5212 (multiplicity 1)  6 F 1.80-1.88
3 Ge 0.3985 0.2757 0.6848 (multiplicity 1)  1 F 1.84
4 Ge 0.7434 0.6333 0.4142 (multiplicity 1)  1 F 1.81
5 Cl 0.6514 0.3188 0.9358 (multiplicity 1)  1 Ge 2.35
6 Cl 0.8046 0.7314 0.0705 (multiplicity 1)  2 Ge 2.44-2.53
7 F 0.1245 0.2502 0.4569 (multiplicity 1)  1 Ge 1.83
8 F 0.1779 0.2741 0.8558 (multiplicity 1)  1 Ge 1.84
9 F 0.2216 0.6408 0.5948 (multiplicity 1)  1 Ge 1.88
10 F 0.3900 0.8805 0.7058 (multiplicity 1)  1 Ge 1.80
11 F 0.3942 0.8987 0.3447 (multiplicity 1)  1 Ge 1.86
12 F 0.6190 0.4447 0.3908 (multiplicity 1)  1 Ge 1.81
13 F 0.9566 0.9933 0.7013 (multiplicity 1)  1 Ge 1.86
14 F 0.9629 0.0040 0.3379 (multiplicity 1)  1 Ge 1.80

D(E_F): 0.0 states/eV per cell
size of the total moment: 0.00 Bohr magnetons per cell
electronic total energy: -4.561 eV per atom
formation energy from raw total energies: -1.908 eV per atom



> Which value of D(E_F) does entry 1 give?

0.0 states/eV per cell



> The lowest electronic total energy belongs to which entry?

Ge2ClF4